# 1
HfTi4Ni4: optimized geometry, PBE.

```
18
Lattice="-4.798 -1.122 0.807 0.545 -5.886 -4.947 2.063 -4.666 5.779" Properties=species:S:1:pos:R:3 pbc="T T T"
Ti -2.276 -8.402 2.561
Ni 1.437 -8.535 -0.108
Hf -1.095 -5.837 0.819
Ni -3.638 -5.799 -2.023
Ti 0.797 -6.872 -1.702
Ti -1.347 -4.852 -2.426
Ni -1.480 -4.862 3.104
Ni 0.076 -7.854 1.759
Ni -2.349 -6.763 4.300
Hf 0.000 0.000 0.000
Ti -3.744 -4.168 -0.278
Ni -1.266 -3.586 -0.289
Ti -2.149 -2.791 1.904
Ni -1.710 -7.046 -1.298
Ti 0.125 -6.596 3.902
Ti -1.009 -9.110 -0.103
Ni 0.171 -2.251 1.108
Ti 0.843 -3.907 2.696
```

Calculated values
formation energy: -0.05 eV per atom


# 2
Tb6Pr3Ho2Pb: optimized geometry, PBE.

```
12
Lattice="6.200 -0.002 0.019 -3.100 5.369 0.019 -1.077 -1.865 11.536" Properties=species:S:1:pos:R:3 pbc="T T T"
Pr -2.073 3.533 5.787
Tb -1.026 1.735 2.809
Pr 1.011 1.751 5.787
Tb 2.015 -0.021 2.809
Ho 3.091 1.794 0.019
Pb 0.000 0.000 0.000
Tb 0.008 3.524 8.766
Tb 3.048 1.768 8.766
Tb 2.072 3.588 2.851
Ho 0.009 3.574 0.019
Pr 4.096 -0.030 5.787
Tb -0.050 -0.086 8.724
```

Calculated values
formation energy: -0.05 eV per atom


# 3
BeNbI2O: optimized geometry, PBE.

```
5
Lattice="5.714 0.000 0.000 0.000 5.714 0.000 0.000 0.000 3.114" Properties=species:S:1:pos:R:3 pbc="T T T"
Nb 2.857 2.857 1.557
I 2.857 0.000 0.000
I 0.000 2.857 0.000
O 0.000 0.000 1.557
Be 0.000 0.000 0.000
```

Calculated values
distance to the lowest polymorph of the same formula: 0 meV per atom
raw formation energy: -0.1951 eV/atom


# 4
CaOs2: optimized geometry, PBE.

```
3
Lattice="4.419 0.000 0.000 2.209 3.827 0.000 2.209 1.276 3.608" Properties=species:S:1:pos:R:3 pbc="T T T"
Os 6.628 3.827 2.706
Ca 0.000 0.000 0.000
Os 2.209 1.276 0.902
```

Calculated values
formation energy: 2.29 eV per atom


# 5
AgPt3: optimized geometry, PBE.

```
8
Lattice="4.707 0.000 0.000 0.000 4.884 0.000 0.000 0.000 5.614" Properties=species:S:1:pos:R:3 pbc="T T T"
Pt 2.353 0.784 4.201
Pt 0.000 4.100 4.219
Pt 0.000 1.602 2.807
Ag 0.000 1.668 0.000
Ag 2.353 3.216 2.807
Pt 2.353 0.784 1.413
Pt 2.353 3.282 0.000
Pt 0.000 4.100 1.394
```

Calculated values
formation energy: 0.09 eV per atom


# 6
AcScSb3: optimized geometry, PBE.

```
20
Lattice="-2.130 2.449 5.856 -2.250 -5.684 1.559 12.480 -3.314 5.927" Properties=species:S:1:pos:R:3 pbc="T T T"
Sb -2.652 -3.344 6.175
Sb 0.011 -5.806 4.346
Sb 5.662 -3.074 3.345
Sb -1.050 -3.211 2.875
Ac 5.816 -3.243 9.214
Ac 7.985 -1.679 5.521
Sb 4.596 -1.849 6.273
Sb 8.035 -4.796 6.843
Sb 10.752 -3.205 7.166
Sb 0.065 -1.752 6.498
Sc 8.617 -6.057 9.496
Sb 4.569 -5.924 4.140
Sb 3.504 -4.699 7.068
Sb 9.150 -3.338 10.466
Ac 0.115 -4.869 7.820
Sc -0.517 -0.491 3.845
Sb 8.089 -0.743 8.995
Ac 2.284 -3.306 4.128
Sc 0.548 -1.716 0.917
Sc 9.682 -7.282 6.568
```

Calculated values
distance to the lowest polymorph of the same formula: 0 meV per atom
raw formation energy: -0.8236 eV/atom


# 7
LiCeZn4: optimized geometry, PBE.

```
6
Lattice="5.365 0.000 0.000 2.682 4.646 0.000 2.682 1.549 4.380" Properties=species:S:1:pos:R:3 pbc="T T T"
Zn 6.703 3.870 2.736
Zn 5.365 1.553 2.736
Zn 5.365 3.097 0.552
Li 2.682 1.549 1.095
Ce 0.000 0.000 0.000
Zn 4.027 3.870 2.736
```

Calculated values
distance to the lowest polymorph of the same formula: 21 meV per atom
formation energy: -0.19 eV per atom


# 8
RePtN: optimized geometry, PBE.

```
12
Lattice="-5.090 5.654 11.611 -2.530 0.065 -1.141 -0.761 -3.718 1.477" Properties=species:S:1:pos:R:3 pbc="T T T"
Re -4.584 5.092 10.456
Re -0.506 0.562 1.155
N -0.262 -1.281 0.509
Re -3.684 0.438 4.819
Pt -5.717 2.696 9.454
Pt -1.526 1.695 3.481
N -3.928 2.281 5.465
N -4.453 -0.280 6.482
N -0.499 -2.437 0.968
Re -4.697 1.563 7.128
Pt -3.564 3.959 8.130
Pt -2.665 -0.694 2.492
```

Calculated values
distance to the lowest polymorph of the same formula: 169 meV per atom
raw formation energy: 0.1775 eV/atom


# 9
CeMgZn: optimized geometry, PBE.

```
6
Lattice="-3.545 -2.257 2.024 2.146 -0.721 -2.420 6.848 -1.613 10.194" Properties=species:S:1:pos:R:3 pbc="T T T"
Mg 1.181 -2.458 4.702
Zn 3.489 -3.870 7.170
Zn 1.960 -0.721 2.628
Ce 4.456 -2.856 9.994
Ce 0.993 -1.735 -0.196
Mg 4.268 -2.133 5.096
```

Calculated values
formation energy: -0.06 eV per atom


# 10
Ac3Sb4: optimized geometry, PBE.

```
7
Lattice="6.733 0.000 0.000 0.000 6.733 0.000 0.000 0.000 6.733" Properties=species:S:1:pos:R:3 pbc="T T T"
Sb 3.366 0.000 3.366
Ac 3.366 0.000 0.000
Sb 3.366 3.366 0.000
Ac 0.000 3.366 0.000
Sb 0.000 3.366 3.366
Ac 0.000 0.000 3.366
Sb 0.000 0.000 0.000
```

Calculated values
raw formation energy: -0.6619 eV/atom


# 11
Rb3NaLi2F6: optimized geometry, PBE.

```
12
Lattice="-3.657 -2.995 4.016 5.965 0.992 1.381 -1.726 6.167 3.027" Properties=species:S:1:pos:R:3 pbc="T T T"
Rb 1.631 3.690 4.236
Li -1.758 3.007 5.431
F 0.915 1.633 2.051
Rb 0.000 0.000 0.000
Rb -1.049 0.474 4.188
F 2.034 0.662 4.667
Li 2.339 1.157 2.993
F -1.452 3.502 3.757
F 3.807 2.113 2.720
F -3.225 2.051 5.704
F -0.334 2.531 6.374
Na -0.863 3.084 1.513
```

Calculated values
raw formation energy: -2.6903 eV/atom


# 12
TlV2IBr: optimized geometry, PBE.

```
5
Lattice="5.512 0.000 0.000 0.000 5.901 0.000 0.000 0.000 5.512" Properties=species:S:1:pos:R:3 pbc="T T T"
Br 2.756 2.951 2.756
V 0.000 0.000 2.756
I 0.000 2.951 0.000
V 2.756 0.000 0.000
Tl 0.000 0.000 0.000
```

Calculated values
raw formation energy: 1.1899 eV/atom


| no. | spin magnetization (μB/f.u.) | DOS(E_F) (states/eV per cell) |
| --- | --- | --- |
| 1 | 0.0 | 23.2 |
| 2 | 0.0 | 16.1 |
| 3 | 2.4 | 3.1 |
| 4 | 2.0 | 5.6 |
| 5 | 0.0 | 13.0 |
| 6 | 0.0 | 9.1 |
| 7 | 0.4 | 7.0 |
| 8 | 0.0 | 5.2 |
| 9 | 0.0 | 8.1 |
| 10 | 0.0 | 5.6 |
| 11 | 0.2 | 0.0 |
| 12 | 6.9 | 4.6 |